No. 1
Crystalline BeInTc2 at its relaxed geometry, computed with GGA-PBEsol.

## Properties
As for the formation energy from the elements: 35.7 kJ per mole of atoms. The volume is 56 Å³/cell. Its energy above the most stable polymorph in this dataset is 12.6 kJ per mole of atoms. As for the density of states at the Fermi level: 0.831 states/eV per atom. Its space-group type is Cmmm, No. 65.

Geometry as POSCAR:
```
BeInTc2
1.0
1.639 -2.194 0.000
1.639 2.194 0.000
0.000 0.000 7.803
Be In Tc
1 1 2
Cartesian
0.000 0.000 0.000
0.000 0.000 3.901
1.639 0.000 1.627
1.639 0.000 6.176
```

---

No. 2
Crystalline Sc2As at its relaxed geometry, computed with GGA-PBEsol.

## Properties
As for the formation energy from the elements: -92.3 kJ per mole of atoms. The volume is 120 Å³/cell. As for the density of states at the Fermi level: 1.022 states/eV per atom. Its space-group type is Cmcm, No. 63.

Geometry as POSCAR:
```
Sc2As
1.0
1.860 -5.825 0.000
1.860 5.825 0.000
0.000 0.000 5.520
Sc As
4 2
Cartesian
0.000 0.000 0.000
0.000 0.000 2.760
1.860 2.382 4.140
1.860 -2.382 1.380
1.860 1.529 1.380
1.860 -1.529 4.140
```

---

No. 3
Crystalline Be3Cu2 at its relaxed geometry, computed with GGA-PBEsol.

## Properties
As for the formation energy from the elements: -6.9 kJ per mole of atoms. The volume is 92 Å³/cell. As for the density of states at the Fermi level: 0.100 states/eV per atom. Its space-group type is Fdd2, No. 43.

Geometry as POSCAR:
```
Be3Cu2
1.0
0.000 5.533 2.154
3.857 0.000 2.154
3.857 5.533 0.000
Be Cu
6 4
Cartesian
0.000 0.000 0.000
1.929 2.767 1.077
4.240 4.402 2.377
3.475 6.665 2.377
5.404 7.169 3.454
6.168 9.431 3.454
5.504 6.129 1.418
3.576 2.171 2.495
2.211 4.938 1.418
4.139 8.895 2.495
```

---

No. 4
Crystalline Li2Ni3SbO8 at its relaxed geometry, computed with GGA-PBEsol.

## Properties
The volume is 562 Å³/cell. Its energy above the most stable polymorph in this dataset is 0.8 kJ per mole of atoms. As for the density of states at the Fermi level: 0.446 states/eV per atom. Its space-group type is P4_332, No. 212.

Geometry as POSCAR:
```
Li2Ni3SbO8
1.0
8.254 0.000 0.000
0.000 8.254 0.000
0.000 0.000 8.254
Li Ni Sb O
8 12 4 32
Cartesian
0.036 4.091 4.163
2.027 6.154 6.226
2.100 2.100 2.100
4.091 4.163 0.036
4.163 0.036 4.091
6.154 6.226 2.027
6.226 2.027 6.154
8.218 8.218 8.218
0.997 1.067 5.159
1.032 3.130 7.187
1.067 5.159 0.997
3.060 3.095 5.123
3.095 5.123 3.060
3.130 7.187 1.032
5.123 3.060 3.095
5.159 0.997 1.067
5.194 7.222 7.257
7.187 1.032 3.130
7.222 7.257 5.194
7.257 5.194 7.222
1.032 7.222 3.095
3.095 1.032 7.222
5.159 5.159 5.159
7.222 3.095 1.032
0.894 0.973 3.183
0.898 5.025 7.356
0.944 7.360 5.100
0.973 3.183 0.894
1.090 1.170 7.134
1.120 5.217 2.957
1.165 2.961 5.292
1.170 7.134 1.090
2.957 1.120 5.217
2.961 5.292 1.165
3.007 3.036 7.084
3.036 7.084 3.007
3.154 5.071 5.021
3.183 0.894 0.973
3.229 3.229 3.229
3.233 7.281 7.310
5.021 3.154 5.071
5.025 7.356 0.898
5.071 5.021 3.154
5.100 0.944 7.360
5.217 2.957 1.120
5.246 7.163 5.297
5.292 1.165 2.961
5.297 5.246 7.163
7.084 3.007 3.036
7.088 7.088 7.088
7.134 1.090 1.170
7.163 5.297 5.246
7.281 7.310 3.233
7.310 3.233 7.281
7.356 0.898 5.025
7.360 5.100 0.944
```

---

No. 5
Crystalline FeMoW at its relaxed geometry, computed with GGA-PBEsol.

## Properties
As for the formation energy from the elements: 16.2 kJ per mole of atoms. The volume is 43 Å³/cell. Its energy above the most stable polymorph in this dataset is 0.9 kJ per mole of atoms. As for the density of states at the Fermi level: 0.656 states/eV per atom. Its space-group type is P3m1, No. 156.

Geometry as POSCAR:
```
FeMoW
1.0
4.351 0.000 0.000
-2.175 3.768 0.000
0.000 0.000 2.595
Fe Mo W
1 1 1
Cartesian
0.000 0.000 0.000
2.175 1.256 0.882
0.000 2.512 1.759
```

---

No. 6
Crystalline CaTc2Se at its relaxed geometry, computed with GGA-PBEsol.

## Properties
The volume is 63 Å³/cell. For the electronic total energy, the calculation gives -26.264 eV for the cell shown. As for the density of states at the Fermi level: 1.254 states/eV per atom. Its space-group type is P4/mmm, No. 123.

Geometry as POSCAR:
```
CaTc2Se
1.0
4.302 0.000 0.000
0.000 4.302 0.000
0.000 0.000 3.404
Ca Tc Se
1 2 1
Cartesian
0.000 0.000 0.000
0.000 2.151 1.702
2.151 0.000 1.702
2.151 2.151 0.000
```

---

No. 7
Crystalline TlRe3Mo at its relaxed geometry, computed with GGA-PBEsol.

## Properties
As for the formation energy from the elements: 350.1 kJ per mole of atoms. The volume is 107 Å³/cell. As for the density of states at the Fermi level: 1.011 states/eV per atom. Its space-group type is Pm-3m, No. 221.

Geometry as POSCAR:
```
TlRe3Mo
1.0
4.744 0.000 0.000
0.000 4.744 0.000
0.000 0.000 4.744
Tl Re Mo
1 3 1
Cartesian
0.000 0.000 0.000
0.000 0.000 2.372
0.000 2.372 0.000
2.372 0.000 0.000
2.372 2.372 2.372
```

---

No. 8
Crystalline HgPRh2 at its relaxed geometry, computed with GGA-PBEsol.

## Properties
As for the formation energy from the elements: -11.3 kJ per mole of atoms. The volume is 65 Å³/cell. As for the density of states at the Fermi level: 0.568 states/eV per atom. Its space-group type is Pm, No. 6.

Geometry as POSCAR:
```
HgPRh2
1.0
3.063 0.000 0.000
0.000 4.302 0.000
-0.935 0.000 4.909
Hg P Rh
1 1 2
Cartesian
0.000 0.000 0.000
2.120 2.151 2.253
0.567 2.151 3.901
1.443 0.000 2.280
```